Here is an optimized crystal structure of EuCrTeO6 from Alexandria. Energies are from GGA+U.

CIF file:
```
data_EuCrTeO6
_chemical_formula_sum 'Eu2 Cr2 Te2 O12'
_symmetry_space_group_name_H-M 'P 1'
_symmetry_Int_Tables_number 1
_symmetry_space_group_name_Hall 'P 1'
_cell_length_a 5.206
_cell_length_b 5.206
_cell_length_c 10.257
_cell_angle_alpha 90.00
_cell_angle_beta 90.00
_cell_angle_gamma 120.00
loop_
_atom_site_label
_atom_site_type_symbol
_atom_site_fract_x
_atom_site_fract_y
_atom_site_fract_z
Eu1 Eu 0.000 0.000 0.000
Eu2 Eu 0.000 0.000 0.500
Cr1 Cr 0.333 0.667 0.250
Cr2 Cr 0.667 0.333 0.750
Te1 Te 0.333 0.667 0.750
Te2 Te 0.667 0.333 0.250
O1 O 0.372 0.366 0.144
O2 O 0.634 0.007 0.144
O3 O 0.993 0.628 0.144
O4 O 0.628 0.634 0.856
O5 O 0.366 0.993 0.856
O6 O 0.007 0.372 0.856
O7 O 0.634 0.628 0.356
O8 O 0.372 0.007 0.356
O9 O 0.993 0.366 0.356
O10 O 0.366 0.372 0.644
O11 O 0.628 0.993 0.644
O12 O 0.007 0.634 0.644
```

Calculated values
- E above lowest polymorph: 0.0 meV/atom
- Symmetry: No. 163